# SmMgGeH

Crystalline SmMgGeH at its relaxed geometry (PBE, Alexandria via LeMat-Bulk).

The total energy comes out at -33.5 eV/cell.

Cell: 4.216 4.216 7.922 Å, 90.00 90.00 90.00°
Space group P4/nmm (No. 129, origin choice 2)
One atom of each set of equivalent atoms:
Sm 0.250 0.250 0.137 [2 per cell]
Mg 0.250 0.750 0.500 [2 per cell]
Ge 0.250 0.250 0.723 [2 per cell]
H 0.250 0.750 0.000 [2 per cell]